TlSe | PBE-GGA | relaxed

Cell and atoms, written as POSCAR:
```
TlSe
1.0
7.923 0.172 -0.591
6.671 4.278 -0.591
4.605 1.404 5.994
Tl Se
3 3
direct
0.977 0.977 0.094
0.000 0.000 0.567
0.256 0.256 0.981
0.775 0.775 0.542
0.584 0.584 0.220
0.241 0.241 0.429
```

Properties
Magnetic moment: 0.000 μB/f.u.


Tl3Se | PBE-GGA | relaxed

Cell and atoms, written as POSCAR:
```
Tl3Se
1.0
5.531 0.000 0.000
2.766 4.790 0.000
2.766 1.597 4.516
Se Tl
1 3
direct
0.000 0.000 0.000
0.500 0.500 0.500
0.250 0.250 0.250
0.750 0.750 0.750
```

Properties
Magnetic moment: 0.000 μB/f.u.


TlSe3 | PBE-GGA | relaxed

Cell and atoms, written as POSCAR:
```
TlSe3
1.0
-1.719 1.707 -1.522
0.135 -1.826 -2.198
-11.083 -6.762 4.935
Se Tl
3 1
direct
0.000 0.000 0.047
0.500 0.500 0.750
0.000 0.000 0.453
0.500 0.500 0.250
```

Properties
Magnetic moment: 0.000 μB/f.u.


TlSe | PBE-GGA | relaxed

Cell and atoms, written as POSCAR:
```
TlSe
1.0
-7.653 3.577 -1.048
-8.233 -2.134 -0.346
7.726 -0.348 3.556
Se Tl
2 2
direct
0.000 0.000 0.000
0.250 0.750 0.500
0.500 0.500 0.000
0.750 0.250 0.500
```

Properties
Magnetic moment: 0.000 μB/f.u.


Tl3Se | PBE-GGA | relaxed

Cell and atoms, written as POSCAR:
```
Tl3Se
1.0
-5.863 -3.569 -0.933
4.945 0.426 -4.831
2.664 -4.974 2.288
Tl Se
6 2
direct
0.055 0.437 0.750
0.945 0.563 0.250
0.937 0.063 0.250
0.563 0.945 0.750
0.437 0.055 0.250
0.063 0.937 0.750
0.490 0.510 0.250
0.510 0.490 0.750
```

Properties
Magnetic moment: 0.000 μB/f.u.


Tl3Se | PBE-GGA | relaxed

Cell and atoms, written as POSCAR:
```
Tl3Se
1.0
5.497 0.000 0.000
0.000 6.454 0.000
0.000 0.000 6.830
Tl Se
6 2
direct
0.500 0.354 0.000
0.000 0.177 0.744
0.000 0.177 0.256
0.000 0.646 0.500
0.500 0.823 0.756
0.500 0.823 0.244
0.500 0.384 0.500
0.000 0.616 0.000
```

Properties
Magnetic moment: 0.000 μB/f.u.


Number 1: formation energy without anion corrections -0.236 eV per atom. Number 2: formation energy without anion corrections -0.104 eV per atom. Number 3: formation energy without anion corrections 0.267 eV per atom. Number 4: formation energy without anion corrections -0.116 eV per atom. Number 5: formation energy without anion corrections -0.067 eV per atom. Number 6: formation energy without anion corrections -0.173 eV per atom.